[1]
Tl2BiSb2 | the Alexandria database | PBE-GGA | optimized geometry; total moment = 0.0 μB per cell; space-group type = I4/mmm, No. 139; polymorph energy (0 for the lowest one) = 0.126 eV per atom; raw formation energy = 0.150 eV per atom; E_tot = -3.2219 eV/atom
1.0
-2.1101 2.1101 9.3060
2.1101 -2.1101 9.3060
2.1101 2.1101 -9.3060
Tl Bi Sb
2 1 2
Direct
0.0981 0.0981 0.0000 Tl
0.9019 0.9019 0.0000 Tl
0.5000 0.5000 0.0000 Bi
0.2500 0.7500 0.5000 Sb
0.7500 0.2500 0.5000 Sb

=====

[2]
MgZrSi | the Alexandria database | PBE-GGA | optimized geometry; total moment = 0.0 μB per cell; space-group type = F-43m, No. 216; raw formation energy = -0.188 eV per atom; E_tot = -5.3761 eV/atom
1.0
0.0000 3.1442 3.1442
3.1442 0.0000 3.1442
3.1442 3.1442 0.0000
Mg Zr Si
1 1 1
Direct
0.0000 0.0000 0.0000 Mg
0.5000 0.5000 0.5000 Zr
0.2500 0.2500 0.2500 Si

=====

[3]
Na2LiH | the Alexandria database | PBE-GGA | optimized geometry; total moment = 0.0 μB per cell; space-group type = I-42d, No. 122; polymorph energy (0 for the lowest one) = 0.092 eV per atom; E_tot = -1.8745 eV/atom
1.0
-3.5628 3.5628 3.9377
3.5628 -3.5628 3.9377
3.5628 3.5628 -3.9377
Na Li H
4 2 2
Direct
0.3750 0.2439 0.3689 Na
0.7561 0.1250 0.1311 Na
0.8750 0.0061 0.6311 Na
0.9939 0.6250 0.8689 Na
0.2500 0.7500 0.5000 Li
0.5000 0.5000 0.0000 Li
0.0000 0.0000 0.0000 H
0.7500 0.2500 0.5000 H

=====

[4]
Ca3Ce3AgSe8 | the Alexandria database | PBE-GGA | optimized geometry; total moment = 3.0 μB per cell; space-group type = R-3m, No. 166; raw formation energy = -1.630 eV per atom; E_tot = -5.2655 eV/atom
1.0
4.1823 2.4147 6.9016
-4.1823 2.4147 6.9016
0.0000 -4.8293 6.9016
Ca Ce Ag Se
3 3 1 8
Direct
0.0000 0.5000 0.5000 Ca
0.5000 0.0000 0.5000 Ca
0.5000 0.5000 0.0000 Ca
0.0000 0.0000 0.5000 Ce
0.0000 0.5000 0.0000 Ce
0.5000 0.0000 0.0000 Ce
0.5000 0.5000 0.5000 Ag
0.2456 0.7501 0.7501 Se
0.2499 0.2499 0.7544 Se
0.2499 0.7544 0.2499 Se
0.2516 0.2516 0.2516 Se
0.7484 0.7484 0.7484 Se
0.7501 0.2456 0.7501 Se
0.7501 0.7501 0.2456 Se
0.7544 0.2499 0.2499 Se

=====

[5]
YSc2InGa | the Alexandria database | PBE-GGA | optimized geometry; total moment = 0.0 μB per cell; space-group type = P4/mmm, No. 123; E_tot = -4.5688 eV/atom; calculated formation energy = 0.410 eV/atom
1.0
5.3110 0.0000 0.0000
0.0000 5.3110 0.0000
0.0000 0.0000 5.6461
Y Sc In Ga
1 2 1 1
Direct
0.0000 0.0000 0.0000 Y
0.0000 0.5000 0.5000 Sc
0.5000 0.0000 0.5000 Sc
0.0000 0.0000 0.5000 In
0.5000 0.5000 0.0000 Ga

=====

[6]
TaTcW2 | the Alexandria database | PBE-GGA | optimized geometry; total moment = 0.0 μB per cell; space-group type = C2/m, No. 12; polymorph energy (0 for the lowest one) = 0.077 eV per atom; E_tot = -12.1123 eV/atom; calculated formation energy = -0.081 eV/atom
1.0
2.7263 -4.5204 0.0000
2.7263 4.5204 0.0000
-0.9284 0.0000 2.6294
Ta Tc W
1 1 2
Direct
0.0000 0.0000 0.0000 Ta
0.5000 0.5000 0.0000 Tc
0.0000 0.5000 0.5000 W
0.5000 0.0000 0.5000 W

=====

[7]
Sc2BeB2Ru5 | the Alexandria database | PBE-GGA | optimized geometry; total moment = 0.0 μB per cell; space-group type = P4/mbm, No. 127; E_tot = -8.1110 eV/atom; calculated formation energy = -0.499 eV/atom
1.0
9.1960 0.0000 0.0000
0.0000 9.1960 0.0000
0.0000 0.0000 3.0019
Sc Be B Ru
4 2 4 10
Direct
0.1734 0.3266 0.0000 Sc
0.3266 0.8266 0.0000 Sc
0.6734 0.1734 0.0000 Sc
0.8266 0.6734 0.0000 Sc
0.0000 0.0000 0.0000 Be
0.5000 0.5000 0.0000 Be
0.1288 0.6288 0.0000 B
0.3712 0.1288 0.0000 B
0.6288 0.8712 0.0000 B
0.8712 0.3712 0.0000 B
0.0000 0.5000 0.5000 Ru
0.0696 0.7950 0.5000 Ru
0.2050 0.0696 0.5000 Ru
0.2950 0.5696 0.5000 Ru
0.4304 0.2950 0.5000 Ru
0.5000 0.0000 0.5000 Ru
0.5696 0.7050 0.5000 Ru
0.7050 0.4304 0.5000 Ru
0.7950 0.9304 0.5000 Ru
0.9304 0.2050 0.5000 Ru

=====

[8]
Fe3RePt12 | the Alexandria database | PBE-GGA | optimized geometry; total moment = 4.4 μB per cell; space-group type = P4/mmm, No. 123; E_tot = -7.0552 eV/atom; calculated formation energy = -0.160 eV/atom
1.0
3.9329 0.0000 0.0000
0.0000 3.9329 0.0000
0.0000 0.0000 15.6200
Fe Re Pt
3 1 12
Direct
0.0000 0.0000 0.0000 Fe
0.0000 0.0000 0.2435 Fe
0.0000 0.0000 0.7565 Fe
0.0000 0.0000 0.5000 Re
0.0000 0.5000 0.1242 Pt
0.0000 0.5000 0.3749 Pt
0.0000 0.5000 0.6251 Pt
0.0000 0.5000 0.8758 Pt
0.5000 0.0000 0.1242 Pt
0.5000 0.0000 0.3749 Pt
0.5000 0.0000 0.6251 Pt
0.5000 0.0000 0.8758 Pt
0.5000 0.5000 0.0000 Pt
0.5000 0.5000 0.2493 Pt
0.5000 0.5000 0.5000 Pt
0.5000 0.5000 0.7507 Pt

=====

[9]
SrTi2MnV | the Alexandria database | PBE-GGA | optimized geometry; total moment = 2.7 μB per cell; space-group type = P4/mmm, No. 123; E_tot = -6.5047 eV/atom; calculated formation energy = 0.647 eV/atom
1.0
4.6818 0.0000 0.0000
0.0000 4.6818 0.0000
0.0000 0.0000 4.9502
Sr Ti Mn V
1 2 1 1
Direct
0.0000 0.0000 0.0000 Sr
0.0000 0.5000 0.5000 Ti
0.5000 0.0000 0.5000 Ti
0.5000 0.5000 0.0000 Mn
0.5000 0.5000 0.5000 V

=====

[10]
Li2CaAlHg4 | the Alexandria database | PBE-GGA | optimized geometry; total moment = 0.0 μB per cell; space-group type = R-3m, No. 166; E_tot = -1.6436 eV/atom; calculated formation energy = -0.296 eV/atom
1.0
2.3222 1.3407 9.3642
-2.3222 1.3407 9.3642
0.0000 -2.6815 9.3642
Li Ca Al Hg
2 1 1 4
Direct
0.2337 0.2337 0.2337 Li
0.7663 0.7663 0.7663 Li
0.0000 0.0000 0.0000 Ca
0.5000 0.5000 0.5000 Al
0.1248 0.1248 0.1248 Hg
0.3926 0.3926 0.3926 Hg
0.6074 0.6074 0.6074 Hg
0.8752 0.8752 0.8752 Hg

=====

[11]
La5Y3Te8 | the Alexandria database | PBE-GGA | optimized geometry; total moment = 0.0 μB per cell; space-group type = R-3m, No. 166; raw formation energy = -1.486 eV per atom; E_tot = -5.8083 eV/atom
1.0
4.4915 2.5932 7.3869
-4.4915 2.5932 7.3869
0.0000 -5.1864 7.3869
La Y Te
5 3 8
Direct
0.0000 0.0000 0.0000 La
0.0000 0.5000 0.5000 La
0.5000 0.0000 0.5000 La
0.5000 0.5000 0.0000 La
0.5000 0.5000 0.5000 La
0.0000 0.0000 0.5000 Y
0.0000 0.5000 0.0000 Y
0.5000 0.0000 0.0000 Y
0.2388 0.7500 0.7500 Te
0.2446 0.2446 0.2446 Te
0.2500 0.2500 0.7612 Te
0.2500 0.7612 0.2500 Te
0.7500 0.2388 0.7500 Te
0.7500 0.7500 0.2388 Te
0.7554 0.7554 0.7554 Te
0.7612 0.2500 0.2500 Te

=====

[12]
Cs2BeCBr6 | the Alexandria database | PBE-GGA | optimized geometry; total moment = 0.0 μB per cell; space-group type = I4/mmm, No. 139; raw formation energy = -0.383 eV per atom; E_tot = -2.8527 eV/atom
1.0
-3.6194 3.6194 5.5910
3.6194 -3.6194 5.5910
3.6194 3.6194 -5.5910
Cs Be C Br
2 1 1 6
Direct
0.2500 0.7500 0.5000 Cs
0.7500 0.2500 0.5000 Cs
0.0000 0.0000 0.0000 Be
0.5000 0.5000 0.0000 C
0.2315 0.2315 0.4629 Br
0.2315 0.7685 0.0000 Br
0.2862 0.2862 0.0000 Br
0.7138 0.7138 0.0000 Br
0.7685 0.2315 0.0000 Br
0.7685 0.7685 0.5371 Br